The following is a DFT calculation (PBE with a Hubbard U) of a geometry-optimized TbCrAsO5 structure.

a = 6.0451 Å, b = 6.0451 Å, c = 8.1834 Å
α = 109.60°, β = 109.60°, γ = 93.41°
Sites, in units of the cell vectors:
Tb 0.0000 0.0000 0.0000
Tb 0.0000 0.0000 0.5000
Cr 0.3188 0.6812 0.7500
Cr 0.6812 0.3188 0.2500
As 0.3591 0.6409 0.2500
As 0.6409 0.3591 0.7500
O 0.1006 0.8994 0.7500
O 0.2417 0.7378 0.4182
O 0.2622 0.7583 0.0818
O 0.3185 0.3282 0.1543
O 0.3282 0.3185 0.6543
O 0.6718 0.6815 0.3457
O 0.6815 0.6718 0.8457
O 0.7378 0.2417 0.9182
O 0.7583 0.2622 0.5818
O 0.8994 0.1006 0.2500

magnetic moment: 0.500 μB/atom
E_tot: -7.2380 eV/atom